Record 1
# Ce4Cd5In2 (PBE-GGA, optimized geometry)
data_Ce4Cd5In2
_chemical_formula_sum 'Ce4 Cd5 In2'
_cell_length_a 7.992
_cell_length_b 3.207
_cell_length_c 10.733
_cell_angle_alpha 90.00
_cell_angle_beta 92.97
_cell_angle_gamma 90.00
_symmetry_space_group_name_H-M 'P 1 2/m 1'
_symmetry_Int_Tables_number 10
loop_
_symmetry_equiv_pos_as_xyz
'x,y,z'
'-x,-y,-z'
'-x,y,-z'
'x,-y,z'
loop_
_atom_site_label
_atom_site_fract_x
_atom_site_fract_y
_atom_site_fract_z
Ce1 0.121 0.000 0.412
Ce2 0.331 0.000 0.958
Cd1 0.230 0.500 0.682
Cd2 0.410 0.500 0.230
Cd3 0.500 0.500 0.500
In1 0.044 0.500 0.136
# ρ: 8.173 g/cm³
# final energy: -3.280 eV per atom
# total magnetization: 2.9 μB/f.u.
# DOS(E_F): 1.76 states/eV per atom
# energy relative to the elements: -0.21 eV per atom



Record 2
# Ce4CdIn2 (PBE-GGA, optimized geometry)
data_Ce4CdIn2
_chemical_formula_sum 'Ce8 Cd2 In4'
_cell_length_a 5.959
_cell_length_b 5.959
_cell_length_c 12.531
_cell_angle_alpha 90.00
_cell_angle_beta 90.00
_cell_angle_gamma 90.00
_symmetry_space_group_name_H-M 'I 4/m m m'
_symmetry_Int_Tables_number 139
_symmetry_space_group_name_Hall '-I 4 2'
loop_
_atom_site_label
_atom_site_fract_x
_atom_site_fract_y
_atom_site_fract_z
Ce1 0.000 0.500 0.000
Ce2 0.000 0.500 0.250
Cd1 0.000 0.000 0.000
In1 0.000 0.000 0.376
# ρ: 6.735 g/cm³
# final energy: -4.164 eV per atom
# total magnetization: 5.8 μB/f.u.
# DOS(E_F): 4.04 states/eV per atom
# energy relative to the elements: 0.14 eV per atom



Record 3
# Ce4Cd2In5 (PBE-GGA, optimized geometry)
data_Ce4Cd2In5
_chemical_formula_sum 'Ce4 Cd2 In5'
_cell_length_a 8.248
_cell_length_b 3.231
_cell_length_c 10.812
_cell_angle_alpha 90.00
_cell_angle_beta 94.05
_cell_angle_gamma 90.00
_symmetry_space_group_name_H-M 'P 1 2/m 1'
_symmetry_Int_Tables_number 10
loop_
_symmetry_equiv_pos_as_xyz
'x,y,z'
'-x,-y,-z'
'-x,y,-z'
'x,-y,z'
loop_
_atom_site_label
_atom_site_fract_x
_atom_site_fract_y
_atom_site_fract_z
Ce1 0.161 0.000 0.392
Ce2 0.292 0.000 0.946
Cd1 0.053 0.500 0.133
In1 0.203 0.500 0.669
In2 0.427 0.500 0.211
In3 0.500 0.500 0.500
# ρ: 7.854 g/cm³
# final energy: -3.878 eV per atom
# total magnetization: 4.1 μB/f.u.
# DOS(E_F): 2.14 states/eV per atom
# energy relative to the elements: -0.31 eV per atom



Record 4
# Ce4Cd3In2 (PBE-GGA, optimized geometry)
data_Ce4Cd3In2
_chemical_formula_sum 'Ce8 Cd6 In4'
_cell_length_a 10.815
_cell_length_b 4.826
_cell_length_c 9.671
_cell_angle_alpha 90.00
_cell_angle_beta 111.55
_cell_angle_gamma 90.00
_symmetry_space_group_name_H-M 'C 1 2/m 1'
_symmetry_Int_Tables_number 12
loop_
_symmetry_equiv_pos_as_xyz
'x,y,z'
'-x,-y,-z'
'-x,y,-z'
'x,-y,z'
'x+1/2,y+1/2,z'
'-x+1/2,-y+1/2,-z'
'-x+1/2,y+1/2,-z'
'x+1/2,-y+1/2,z'
loop_
_atom_site_label
_atom_site_fract_x
_atom_site_fract_y
_atom_site_fract_z
Ce1 0.011 0.000 0.355
Ce2 0.175 0.500 0.907
Cd1 0.000 0.000 0.000
Cd2 0.164 0.500 0.563
In1 0.175 0.500 0.245
# ρ: 7.975 g/cm³
# final energy: -3.771 eV per atom
# total magnetization: 4.6 μB/f.u.
# DOS(E_F): 2.30 states/eV per atom
# energy relative to the elements: -0.22 eV per atom